Material: CdOs3Br
Method: DFT, PBEsol
State: optimized geometry

The structure in CIF format:
```
data_CdOs3Br
_symmetry_space_group_name_H-M 'P m -3 m'
_symmetry_Int_Tables_number 221
_symmetry_space_group_name_Hall '-P 4 2 3'
_cell_length_a 4.9213
_cell_length_b 4.9213
_cell_length_c 4.9213
_cell_angle_alpha 90.00
_cell_angle_beta 90.00
_cell_angle_gamma 90.00
loop_
_atom_site_label
_atom_site_type_symbol
_atom_site_fract_x
_atom_site_fract_y
_atom_site_fract_z
_atom_site_occupancy
Cd1 Cd 0.0000 0.0000 0.0000 1
Os1 Os 0.0000 0.0000 0.5000 1
Br1 Br 0.5000 0.5000 0.5000 1
```

Output
DOS(E_F): 1.26 states/eV/atom
Formation energy (no corrections): 3.4155 eV per atom
Crystal system: cubic

---

Material: ZrAl2SbC
Method: DFT, PBEsol
State: optimized geometry

The structure in CIF format:
```
data_ZrAl2SbC
_symmetry_space_group_name_H-M 'P 4/m m m'
_symmetry_Int_Tables_number 123
_symmetry_space_group_name_Hall '-P 4 2'
_cell_length_a 4.0165
_cell_length_b 4.0165
_cell_length_c 5.3211
_cell_angle_alpha 90.00
_cell_angle_beta 90.00
_cell_angle_gamma 90.00
loop_
_atom_site_label
_atom_site_type_symbol
_atom_site_fract_x
_atom_site_fract_y
_atom_site_fract_z
_atom_site_occupancy
Zr1 Zr 0.0000 0.0000 0.0000 1
Al1 Al 0.0000 0.5000 0.5000 1
Sb1 Sb 0.5000 0.5000 0.0000 1
C1 C 0.5000 0.5000 0.5000 1
```

Output
DOS(E_F): 0.77 states/eV/atom
Formation energy (no corrections): 0.3403 eV per atom
Crystal system: tetragonal

---

Question: Which formula does entry 1 have?
Answer: CdOs3Br

---

Question: What is the DOS(E_F) in the first record?
Answer: 1.26 states/eV/atom